--- a ---
Sr3CuRh after structural relaxation, computed with PBE-GGA.

## Properties
symmetry: P2_1/m (11)
DOS at the Fermi energy: 2.01 states/eV/f.u.

Cell: 4.2707 7.1933 10.6417 Å, 80.15 90.00 90.00°
Fractional positions:
1 Sr 0.2500 0.7858 0.5716
2 Sr 0.2500 0.2450 0.7402
3 Sr 0.2500 0.7556 0.9384
4 Sr 0.7500 0.2142 0.4284
5 Sr 0.7500 0.2444 0.0616
6 Sr 0.7500 0.7550 0.2598
7 Cu 0.7500 0.5759 0.7772
8 Cu 0.2500 0.4241 0.2228
9 Rh 0.2500 0.0673 0.2652
10 Rh 0.7500 0.9327 0.7348

=====

--- b ---
Sr3CuRh after structural relaxation, computed with PBE-GGA.

## Properties
symmetry: Pm-3m (221)
DOS at the Fermi energy: 4.89 states/eV/f.u.

Cell: 5.7282 5.7282 5.7282 Å, 90.00 90.00 90.00°
Fractional positions:
1 Sr 0.0000 0.5000 0.0000
2 Sr 0.0000 0.0000 0.5000
3 Sr 0.5000 0.0000 0.0000
4 Rh 0.0000 0.0000 0.0000
5 Cu 0.5000 0.5000 0.5000

=====

a wins, 246 meV/atom ahead of the next structure.

=====

--- a ---
Ta2CuRh2 after structural relaxation, computed with PBE-GGA.

## Properties
symmetry: P4/mbm (127)
DOS at the Fermi energy: 2.89 states/eV/f.u.

Cell: 7.4108 7.4108 2.9981 Å, 90.00 90.00 90.00°
Fractional positions:
1 Rh 0.3661 0.8661 0.0000
2 Rh 0.8661 0.6339 0.0000
3 Rh 0.6339 0.1339 0.0000
4 Rh 0.1339 0.3661 0.0000
5 Cu 0.0000 0.0000 0.0000
6 Cu 0.5000 0.5000 0.0000
7 Ta 0.1669 0.6669 0.5000
8 Ta 0.6669 0.8331 0.5000
9 Ta 0.8331 0.3331 0.5000
10 Ta 0.3331 0.1669 0.5000

=====

--- b ---
Ta2CuRh2 after structural relaxation, computed with PBE-GGA.

## Properties
symmetry: I4/mmm (139)
DOS at the Fermi energy: 5.90 states/eV/f.u.

Cell: 3.6959 3.6959 6.9647 Å, 74.61 74.61 90.00°
Fractional positions:
1 Rh 0.7500 0.2500 0.5000
2 Rh 0.2500 0.7500 0.5000
3 Cu 0.0000 0.0000 0.0000
4 Ta 0.3935 0.3935 0.2131
5 Ta 0.6065 0.6065 0.7869

=====

a wins, 465 meV/atom ahead of the next structure.

=====

--- a ---
Ta2CuRh4 after structural relaxation, computed with PBE-GGA.

## Properties
symmetry: I4/mmm (139)
DOS at the Fermi energy: 4.71 states/eV/f.u.

Cell: 4.4974 4.4974 7.0363 Å, 71.36 71.36 90.00°
Fractional positions:
1 Rh 0.8061 0.8061 0.3877
2 Rh 0.1939 0.1939 0.6123
3 Rh 0.0000 0.5000 0.0000
4 Rh 0.5000 0.0000 0.0000
5 Cu 0.0000 0.0000 0.0000
6 Ta 0.6219 0.6219 0.7561
7 Ta 0.3781 0.3781 0.2439

=====

--- b ---
Ta2CuRh4 after structural relaxation, computed with PBE-GGA.

## Properties
symmetry: Immm (71)
DOS at the Fermi energy: 7.36 states/eV/f.u.

Cell: 2.7718 4.2705 9.3652 Å, 103.18 98.51 90.00°
Fractional positions:
1 Rh 0.1393 0.1393 0.2786
2 Rh 0.8607 0.8607 0.7214
3 Rh 0.7717 0.2717 0.5434
4 Rh 0.2283 0.7283 0.4566
5 Cu 0.0000 0.0000 0.0000
6 Ta 0.5837 0.5837 0.1674
7 Ta 0.4163 0.4163 0.8326

=====

b wins, 700 meV/atom ahead of the next structure.

=====

--- a ---
Tb4CuRh2 after structural relaxation, computed with PBE-GGA.

## Properties
symmetry: R-3m (166)
DOS at the Fermi energy: 5.96 states/eV/f.u.

Cell: 4.8598 4.8598 8.4360 Å, 73.26 73.26 60.00°
Fractional positions:
1 Rh 0.7488 0.7488 0.7535
2 Rh 0.2512 0.2512 0.2465
3 Tb 0.8741 0.8741 0.3777
4 Tb 0.1259 0.1259 0.6223
5 Tb 0.6234 0.6234 0.1297
6 Tb 0.3766 0.3766 0.8703
7 Cu 0.0000 0.0000 0.0000

=====

--- b ---
Tb4CuRh2 after structural relaxation, computed with PBE-GGA.

## Properties
symmetry: C2 (5)
DOS at the Fermi energy: 4.94 states/eV/f.u.

Cell: 7.5096 7.5121 7.5190 Å, 109.33 109.27 109.77°
Fractional positions:
1 Tb 0.9947 0.2443 0.3774
2 Tb 0.3821 0.5063 0.2489
3 Tb 0.8667 0.6171 0.6225
4 Tb 0.7560 0.1320 0.7491
5 Tb 0.3832 0.0073 0.2511
6 Tb 0.2571 0.1328 0.7508
7 Tb 0.4945 0.7448 0.8777
8 Tb 0.8672 0.6169 0.1224
9 Cu 0.2484 0.7482 0.5001
10 Cu 0.9999 0.9999 0.0000
11 Rh 0.4942 0.3756 0.6197
12 Rh 0.7560 0.8747 0.3804
13 Rh 0.6255 0.2444 0.1197
14 Rh 0.1245 0.5057 0.8801

=====

a wins, 6 meV/atom ahead of the next structure.

=====

--- a ---
TbTmCuRh after structural relaxation, computed with PBE-GGA.

## Properties
symmetry: F-43m (216)
DOS at the Fermi energy: 3.64 states/eV/f.u.

Cell: 4.8598 4.8598 4.8598 Å, 60.00 60.00 60.00°
Fractional positions:
1 Rh 0.7500 0.7500 0.7500
2 Tm 0.0000 0.0000 0.0000
3 Tb 0.5000 0.5000 0.5000
4 Cu 0.2500 0.2500 0.2500

=====

--- b ---
TbTmCuRh after structural relaxation, computed with PBE-GGA.

## Properties
symmetry: Amm2 (38)
DOS at the Fermi energy: 2.82 states/eV/f.u.

Cell: 3.7409 4.3704 5.4934 Å, 90.00 109.91 90.00°
Fractional positions:
1 Tb 0.1419 0.0000 0.2837
2 Tm 0.8635 0.5000 0.7270
3 Cu 0.5761 0.5000 0.1521
4 Rh 0.4186 0.0000 0.8372

=====

b wins, 16 meV/atom ahead of the next structure.

=====

--- a ---
TbYCuRh after structural relaxation, computed with PBE-GGA.

## Properties
symmetry: Amm2 (38)
DOS at the Fermi energy: 2.86 states/eV/f.u.

Cell: 3.8102 4.3636 5.5552 Å, 90.00 110.06 90.00°
Fractional positions:
1 Tb 0.8631 0.5000 0.7261
2 Y 0.1409 0.0000 0.2819
3 Cu 0.5756 0.5000 0.1512
4 Rh 0.4204 0.0000 0.8408

=====

--- b ---
TbYCuRh after structural relaxation, computed with PBE-GGA.

## Properties
symmetry: F-43m (216)
DOS at the Fermi energy: 3.71 states/eV/f.u.

Cell: 4.9009 4.9009 4.9009 Å, 60.00 60.00 60.00°
Fractional positions:
1 Y 0.7500 0.7500 0.7500
2 Rh 0.5000 0.5000 0.5000
3 Tb 0.2500 0.2500 0.2500
4 Cu 0.0000 0.0000 0.0000

=====

a wins, 29 meV/atom ahead of the next structure.

=====

--- a ---
CuTc2Rh after structural relaxation, computed with PBE-GGA.

## Properties
symmetry: I-42d (122)
DOS at the Fermi energy: 4.00 states/eV/f.u.

Cell: 5.4911 5.4911 6.6232 Å, 65.51 65.51 90.00°
Fractional positions:
1 Rh 0.0000 0.0000 0.0000
2 Rh 0.7500 0.2500 0.5000
3 Tc 0.6210 0.1250 0.2500
4 Tc 0.1290 0.6250 0.2500
5 Tc 0.3750 0.3790 0.7500
6 Tc 0.8750 0.8710 0.7500
7 Cu 0.5000 0.5000 0.0000
8 Cu 0.2500 0.7500 0.5000

=====

--- b ---
CuTc2Rh after structural relaxation, computed with PBE-GGA.

## Properties
symmetry: C2/m (12)
DOS at the Fermi energy: 3.95 states/eV/f.u.

Cell: 4.7619 4.7619 4.5762 Å, 80.38 80.38 33.14°
Fractional positions:
1 Cu 0.7500 0.7500 0.7500
2 Rh 0.2500 0.2500 0.2500
3 Tc 0.9961 0.9961 0.0001
4 Tc 0.5039 0.5039 0.4999

=====

b wins, 1397 meV/atom ahead of the next structure.

=====

--- a ---
CuTc2Rh after structural relaxation, computed with PBE-GGA.

## Properties
symmetry: Cmmm (65)
DOS at the Fermi energy: 4.80 states/eV/f.u.

Cell: 4.7762 4.7762 2.6613 Å, 90.00 90.00 113.68°
Fractional positions:
1 Cu 0.5000 0.0000 0.5000
2 Rh 0.0000 0.5000 0.5000
3 Tc 0.0000 0.0000 0.0000
4 Tc 0.5000 0.5000 0.0000

=====

--- b ---
CuTc2Rh after structural relaxation, computed with PBE-GGA.

## Properties
symmetry: Pmmm (47)
DOS at the Fermi energy: 3.50 states/eV/f.u.

Cell: 3.9490 2.7052 5.8758 Å, 62.58 90.00 90.00°
Fractional positions:
1 Cu 0.5000 0.2500 0.2500
2 Rh 0.5000 0.7500 0.7500
3 Tc 0.0000 0.9775 0.0226
4 Tc 0.0000 0.5225 0.4774

=====

b wins, 58 meV/atom ahead of the next structure.

=====

--- a ---
CuTcRh4 after structural relaxation, computed with PBE-GGA.

## Properties
symmetry: F-43m (216)
DOS at the Fermi energy: 6.07 states/eV/f.u.

Cell: 5.0412 5.0412 5.0412 Å, 60.00 60.00 60.00°
Fractional positions:
1 Cu 0.0000 0.0000 0.0000
2 Tc 0.7500 0.7500 0.7500
3 Rh 0.3747 0.8758 0.3747
4 Rh 0.8758 0.3747 0.3747
5 Rh 0.3747 0.3747 0.8758
6 Rh 0.3747 0.3747 0.3747

=====

--- b ---
CuTcRh4 after structural relaxation, computed with PBE-GGA.

## Properties
symmetry: Pmmm (47)
DOS at the Fermi energy: 10.03 states/eV/f.u.

Cell: 2.7070 3.8518 8.0611 Å, 90.00 90.00 90.00°
Fractional positions:
1 Cu 0.0000 0.5000 0.0000
2 Tc 0.5000 0.0000 0.5000
3 Rh 0.0000 0.5000 0.3344
4 Rh 0.5000 0.0000 0.1642
5 Rh 0.0000 0.5000 0.6656
6 Rh 0.5000 0.0000 0.8358

=====

b wins, 410 meV/atom ahead of the next structure.

=====

--- a ---
CuTe4Rh after structural relaxation, computed with PBE-GGA.

## Properties
symmetry: I4_1md (109)
DOS at the Fermi energy: 5.44 states/eV/f.u.

Cell: 7.4087 7.4087 7.4087 Å, 108.05 108.05 112.35°
Fractional positions:
1 Cu 0.7540 0.7540 0.0000
2 Cu 0.5040 0.0040 0.5000
3 Te 0.2502 0.9440 0.6938
4 Te 0.7494 0.4442 0.6948
5 Te 0.6940 0.5002 0.1938
6 Te 0.1942 0.9994 0.1948
7 Te 0.3063 0.5002 0.8062
8 Te 0.8046 0.9994 0.8052
9 Te 0.7494 0.0546 0.3052
10 Te 0.2502 0.5563 0.3062
11 Rh 0.2468 0.2468 0.0000
12 Rh 0.9968 0.4968 0.5000

=====

--- b ---
CuTe4Rh after structural relaxation, computed with PBE-GGA.

## Properties
symmetry: F-43m (216)
DOS at the Fermi energy: 8.76 states/eV/f.u.

Cell: 6.1483 6.1483 6.1483 Å, 60.00 60.00 60.00°
Fractional positions:
1 Cu 0.7500 0.7500 0.7500
2 Te 0.3748 0.8755 0.3748
3 Te 0.8755 0.3748 0.3748
4 Te 0.3748 0.3748 0.8755
5 Te 0.3748 0.3748 0.3748
6 Rh 0.0000 0.0000 0.0000

=====

--- c ---
CuTe4Rh after structural relaxation, computed with PBE-GGA.

## Properties
symmetry: P2/m (10)
DOS at the Fermi energy: 2.10 states/eV/f.u.

Cell: 4.0240 5.3244 7.1763 Å, 89.91 90.00 90.00°
Fractional positions:
1 Cu 0.0000 0.0000 0.0000
2 Te 0.0000 0.7153 0.6277
3 Te 0.5000 0.2189 0.8338
4 Te 0.5000 0.7811 0.1662
5 Te 0.0000 0.2847 0.3723
6 Rh 0.5000 0.0000 0.5000

=====

c wins, 212 meV/atom ahead of the next structure.

=====

--- a ---
ThCuRh after structural relaxation, computed with PBE-GGA.

## Properties
symmetry: C2/m (12)
DOS at the Fermi energy: 1.58 states/eV/f.u.

Cell: 3.9093 5.2786 6.6085 Å, 75.55 72.80 68.27°
Fractional positions:
1 Th 0.5533 0.1879 0.7054
2 Th 0.4467 0.8121 0.2946
3 Cu 0.8288 0.2885 0.0539
4 Cu 0.1712 0.7115 0.9461
5 Rh 0.1610 0.3523 0.3257
6 Rh 0.8390 0.6477 0.6743

=====

--- b ---
ThCuRh after structural relaxation, computed with PBE-GGA.

## Properties
symmetry: I4mm (107)
DOS at the Fermi energy: 2.17 states/eV/f.u.

Cell: 3.7260 3.7260 5.1059 Å, 111.40 111.40 90.00°
Fractional positions:
1 Rh 0.6250 0.6250 0.2500
2 Cu 0.9497 0.9497 0.8995
3 Th 0.2753 0.2753 0.5505

=====

--- c ---
ThCuRh after structural relaxation, computed with PBE-GGA.

## Properties
symmetry: P-6m2 (187)
DOS at the Fermi energy: 1.69 states/eV/f.u.

Cell: 3.7036 4.3572 4.3572 Å, 120.00 90.00 90.00°
Fractional positions:
1 Rh 0.1669 0.0000 0.0000
2 Cu 0.1664 0.3333 0.6667
3 Th 0.6666 0.6667 0.3333

=====

a wins, 47 meV/atom ahead of the next structure.